1.
The following is a PBE-GGA calculation of crystalline Na2NbPtW at its relaxed geometry, from Alexandria via LeMat-Bulk.

a b c (Å): 5.1946 5.1946 4.6437
angles (deg): 90.00 90.00 90.00
Closest atoms and distances in Å follow each position.
Space group P4/mmm (No. 123)
Inequivalent atoms, fractional coordinates:
Na (0.0000, 0.5000, 0.0000) [2 per cell]  2 Nb 2.60
Nb (0.0000, 0.0000, 0.0000) [1 per cell]  2 W 2.32, 4 Na 2.60
Pt (0.5000, 0.5000, 0.5000) [1 per cell]  8 Na 3.48, 4 W 3.67
W (0.0000, 0.0000, 0.5000) [1 per cell]  2 Nb 2.32

## Properties
Size of the total moment (μB per formula unit): 0.5
Energy of formation from the pure elements (eV per atom): 1.95
Total DFT energy (no corrections) (eV/atom): -4.3866


2.
The following is a PBE-GGA calculation of crystalline P2Rh at its relaxed geometry, from Alexandria via LeMat-Bulk.

a b c (Å): 5.7156 5.7156 5.7156
angles (deg): 90.00 90.00 90.00
Closest atoms and distances in Å follow each position.
Space group Fm-3m (No. 225)
Inequivalent atoms, fractional coordinates:
P (0.2500, 0.2500, 0.2500) [8 per cell]  4 Rh 2.47
Rh (0.0000, 0.0000, 0.0000) [4 per cell]  8 P 2.47

## Properties
Size of the total moment (μB per formula unit): 0.0
Energy of formation from the pure elements (eV per atom): -0.27
Total DFT energy (no corrections) (eV/atom): -6.3237


3.
The following is a PBE-GGA calculation of crystalline Er6Ir5Ru at its relaxed geometry, from Alexandria via LeMat-Bulk.

a b c (Å): 4.8299 14.4869 6.6792
angles (deg): 90.00 90.00 90.00
Closest atoms and distances in Å follow each position.
Space group Cmmm (No. 65)
Inequivalent atoms, fractional coordinates:
Er (0.0000, 0.0000, 0.2495) [4 per cell]  6 Ir 2.93-2.95, 2 Ru 2.93
Er (0.0000, 0.3342, 0.2494) [8 per cell]  1 Ru 2.92, 7 Ir 2.93-2.95
Ir (0.0000, 0.1661, 0.0000) [4 per cell]  8 Er 2.93-2.95
Ir (0.0000, 0.1674, 0.5000) [4 per cell]  8 Er 2.94-2.95
Ir (0.0000, 0.5000, 0.5000) [2 per cell]  8 Er 2.93-2.94
Ru (0.0000, 0.5000, 0.0000) [2 per cell]  8 Er 2.92-2.93

## Properties
Size of the total moment (μB per formula unit): 0.0
Energy of formation from the pure elements (eV per atom): -0.82
Total DFT energy (no corrections) (eV/atom): -7.5663


4.
The following is a PBE-GGA calculation of crystalline LiZnAs4 at its relaxed geometry, from Alexandria via LeMat-Bulk.

a b c (Å): 7.8813 7.8813 7.8813
angles (deg): 90.00 90.00 90.00
Closest atoms and distances in Å follow each position.
Space group F-43m (No. 216)
Inequivalent atoms, fractional coordinates:
Li (0.0000, 0.0000, 0.0000) [4 per cell]  12 As 3.27, 4 Zn 3.41
Zn (0.2500, 0.2500, 0.7500) [4 per cell]  12 As 3.26, 4 Li 3.41
As (0.1237, 0.1237, 0.3763) [16 per cell]  6 As 2.76-2.82

## Properties
Size of the total moment (μB per formula unit): 0.0
Energy of formation from the pure elements (eV per atom): 0.13
Total DFT energy (no corrections) (eV/atom): -3.4990


5.
The following is a PBE-GGA calculation of crystalline RbBaAg at its relaxed geometry, from Alexandria via LeMat-Bulk.

a b c (Å): 4.2808 4.2808 16.2675
angles (deg): 90.00 90.00 90.00
Closest atoms and distances in Å follow each position.
Space group I4mm (No. 107)
Inequivalent atoms, fractional coordinates:
Rb (0.0000, 0.0000, 0.0000) [2 per cell]  4 Ag 3.89, 1 Ba 4.16, 4 Rb 4.28
Ba (0.0000, 0.0000, 0.2558) [2 per cell]  4 Ag 3.48
Ag (0.0000, 0.0000, 0.6507) [2 per cell]  4 Ba 3.48

## Properties
Size of the total moment (μB per formula unit): 0.0
Energy of formation from the pure elements (eV per atom): -0.02
Total DFT energy (no corrections) (eV/atom): -1.9350


6.
The following is a PBE-GGA calculation of crystalline Nd4FeAg at its relaxed geometry, from Alexandria via LeMat-Bulk.

a b c (Å): 8.7487 12.7307 6.2843
angles (deg): 90.00 106.05 90.00
Closest atoms and distances in Å follow each position.
Space group C2/c (No. 15)
Inequivalent atoms, fractional coordinates:
Nd (0.1035, 0.1642, 0.0377) [8 per cell]  2 Fe 2.76
Nd (0.2065, 0.4175, 0.4051) [8 per cell]  2 Fe 3.05-3.17, 2 Ag 3.22-3.23
Fe (0.0000, 0.0008, 0.2500) [4 per cell]  6 Nd 2.76-3.05
Ag (0.0000, 0.3729, 0.7500) [4 per cell]  8 Nd 3.20-3.39

## Properties
Size of the total moment (μB per formula unit): 0.0
Energy of formation from the pure elements (eV per atom): -0.02
Total DFT energy (no corrections) (eV/atom): -5.0892


7.
The following is a PBE-GGA calculation of crystalline LaTe2Pd2 at its relaxed geometry, from Alexandria via LeMat-Bulk.

a b c (Å): 9.6138 4.4789 11.5657
angles (deg): 90.00 90.00 90.00
Closest atoms and distances in Å follow each position.
Space group Pnma (No. 62)
Inequivalent atoms, fractional coordinates:
La (0.1962, 0.2500, 0.1754) [4 per cell]  5 Pd 3.17-3.47, 7 Te 3.35-3.48
Te (0.0279, 0.2500, 0.6925) [4 per cell]  3 Pd 2.64-2.76
Te (0.2001, 0.7500, 0.9520) [4 per cell]  4 Pd 2.69-2.79
Pd (0.0115, 0.2500, 0.4238) [4 per cell]  3 Te 2.64-2.79, 2 Pd 2.86
Pd (0.0480, 0.2500, 0.9308) [4 per cell]  4 Te 2.69-2.76, 2 Pd 2.90

## Properties
Size of the total moment (μB per formula unit): 0.0
Formation energy without anion corrections (eV/f.u.): -4.7
Total DFT energy (no corrections) (eV/atom): -5.2658


8.
The following is a PBE-GGA calculation of crystalline Ca2LaP at its relaxed geometry, from Alexandria via LeMat-Bulk.

a b c (Å): 3.7378 4.8572 13.9328
angles (deg): 90.00 90.00 90.00
Closest atoms and distances in Å follow each position.
Space group Immm (No. 71)
Inequivalent atoms, fractional coordinates:
Ca (0.0000, 0.0000, 0.1740) [4 per cell]  2 P 3.06
La (0.0000, 0.5000, 0.0000) [2 per cell]  4 P 3.06, 4 Ca 3.43
P (0.0000, 0.5000, 0.5000) [2 per cell]  4 Ca 3.06, 4 La 3.06

## Properties
Size of the total moment (μB per formula unit): 0.0
Energy of formation from the pure elements (eV per atom): -0.58
Total DFT energy (no corrections) (eV/atom): -4.1646


9.
The following is a PBE-GGA calculation of crystalline TbTmMn4 at its relaxed geometry, from Alexandria via LeMat-Bulk.

a b c (Å): 7.1938 7.1938 7.1938
angles (deg): 90.00 90.00 90.00
Closest atoms and distances in Å follow each position.
Space group F-43m (No. 216)
Inequivalent atoms, fractional coordinates:
Tb (0.0000, 0.0000, 0.0000) [4 per cell]  12 Mn 2.98, 4 Tm 3.12
Tm (0.2500, 0.2500, 0.7500) [4 per cell]  12 Mn 2.98, 4 Tb 3.12
Mn (0.1249, 0.1249, 0.3751) [16 per cell]  6 Mn 2.54-2.55

## Properties
Size of the total moment (μB per formula unit): 1.5
Energy of formation from the pure elements (eV per atom): 0.12
Total DFT energy (no corrections) (eV/atom): -7.5101


10.
The following is a PBE-GGA calculation of crystalline HfAsBr3 at its relaxed geometry, from Alexandria via LeMat-Bulk.

a b c (Å): 5.3191 5.3191 5.3191
angles (deg): 90.00 90.00 90.00
Closest atoms and distances in Å follow each position.
Space group Pm-3m (No. 221)
Inequivalent atoms, fractional coordinates:
Hf (0.0000, 0.0000, 0.0000) [1 per cell]  6 Br 2.66
As (0.5000, 0.5000, 0.5000) [1 per cell]  12 Br 3.76
Br (0.0000, 0.0000, 0.5000) [3 per cell]  2 Hf 2.66

## Properties
Size of the total moment (μB per formula unit): 2.8
Formation energy without anion corrections (eV/f.u.): -1.1
Total DFT energy (no corrections) (eV/atom): -4.1405


11.
The following is a PBE-GGA calculation of crystalline Tb4Re3N12 at its relaxed geometry, from Alexandria via LeMat-Bulk.

a b c (Å): 8.4332 8.4332 8.4332
angles (deg): 90.00 90.00 90.00
Closest atoms and distances in Å follow each position.
Space group Im-3 (No. 204)
Inequivalent atoms, fractional coordinates:
Tb (0.2500, 0.2500, 0.2500) [8 per cell]  6 N 2.37
Re (0.0000, 0.0000, 0.5000) [6 per cell]  4 N 1.89
N (0.0000, 0.3360, 0.1534) [24 per cell]  1 Re 1.89

## Properties
Size of the total moment (μB per formula unit): 1.8
Formation energy without anion corrections (eV/f.u.): 1.9
Total DFT energy (no corrections) (eV/atom): -8.0968


12.
The following is a PBE-GGA calculation of crystalline PrSnTe3 at its relaxed geometry, from Alexandria via LeMat-Bulk.

a b c (Å): 8.8983 4.5658 15.5883
angles (deg): 90.00 90.00 90.00
Closest atoms and distances in Å follow each position.
Space group Pnma (No. 62)
Inequivalent atoms, fractional coordinates:
Pr (0.0890, 0.2500, 0.1676) [4 per cell]  9 Te 3.34-3.53
Sn (0.1472, 0.7500, 0.4417) [4 per cell]  6 Te 2.92-3.12
Te (0.0421, 0.7500, 0.6287) [4 per cell]  3 Sn 3.04-3.06, 2 Pr 3.34-3.38
Te (0.1435, 0.7500, 0.0084) [4 per cell]  2 Sn 3.12, 3 Pr 3.41-3.44, 2 Te 3.44
Te (0.1823, 0.2500, 0.7813) [4 per cell]  1 Sn 2.92

## Properties
Size of the total moment (μB per formula unit): 0.0
Formation energy without anion corrections (eV/f.u.): -4.0
Total DFT energy (no corrections) (eV/atom): -4.4386


13.
The following is a PBE-GGA calculation of crystalline La4DyHo3 at its relaxed geometry, from Alexandria via LeMat-Bulk.

a b c (Å): 5.1487 10.2984 10.2667
angles (deg): 90.00 90.00 90.00
Closest atoms and distances in Å follow each position.
Space group Pmmn (No. 59, origin choice 2)
Inequivalent atoms, fractional coordinates:
La (0.2500, 0.0000, 0.1280) [4 per cell]  8 La 3.64-3.68, 3 Ho 3.68, 1 Dy 3.68
La (0.2500, 0.2500, 0.8715) [2 per cell]  8 La 3.64-3.68, 4 Ho 3.67
La (0.2500, 0.7500, 0.8721) [2 per cell]  8 La 3.64-3.68, 2 Ho 3.68, 2 Dy 3.68
Dy (0.2500, 0.2500, 0.3839) [2 per cell]  8 Ho 3.51-3.64, 4 La 3.68
Ho (0.2500, 0.9999, 0.6162) [4 per cell]  5 Ho 3.51-3.64, 3 Dy 3.51-3.64, 4 La 3.67-3.68
Ho (0.2500, 0.7500, 0.3835) [2 per cell]  6 Ho 3.51-3.64, 2 Dy 3.51, 4 La 3.67-3.68

## Properties
Size of the total moment (μB per formula unit): 0.0
Energy of formation from the pure elements (eV per atom): 0.03
Total DFT energy (no corrections) (eV/atom): -4.7256


14.
The following is a PBE-GGA calculation of crystalline NbSnPd6 at its relaxed geometry, from Alexandria via LeMat-Bulk.

a b c (Å): 3.9982 3.9982 8.0663
angles (deg): 90.00 90.00 90.00
Closest atoms and distances in Å follow each position.
Space group P4/mmm (No. 123)
Inequivalent atoms, fractional coordinates:
Nb (0.0000, 0.0000, 0.0000) [1 per cell]  12 Pd 2.78-2.83
Sn (0.0000, 0.0000, 0.5000) [1 per cell]  12 Pd 2.83-2.90
Pd (0.0000, 0.5000, 0.2392) [4 per cell]  8 Pd 2.78-2.90, 2 Nb 2.78, 2 Sn 2.90
Pd (0.5000, 0.5000, 0.0000) [1 per cell]  8 Pd 2.78, 4 Nb 2.83
Pd (0.5000, 0.5000, 0.5000) [1 per cell]  4 Sn 2.83, 8 Pd 2.90

## Properties
Size of the total moment (μB per formula unit): 0.0
Energy of formation from the pure elements (eV per atom): -0.45
Total DFT energy (no corrections) (eV/atom): -6.1007


15.
The following is a PBE-GGA calculation of crystalline Na3Y3AlS8 at its relaxed geometry, from Alexandria via LeMat-Bulk.

a b c (Å): 7.7849 7.7849 20.2695
angles (deg): 90.00 90.00 120.00
Closest atoms and distances in Å follow each position.
Space group R-3m (No. 166, hexagonal axes)
Inequivalent atoms, fractional coordinates:
Na (0.0000, 0.5000, 0.0000) [9 per cell]  6 S 2.90-2.91
Y (0.0000, 0.5000, 0.5000) [9 per cell]  6 S 2.73-2.75
Al (0.0000, 0.0000, 0.5000) [3 per cell]  6 S 2.49
S (0.0000, 0.0000, 0.2430) [6 per cell]  3 Y 2.73, 3 Na 2.90
S (0.0290, 0.5145, 0.2366) [18 per cell]  1 Al 2.49, 2 Y 2.75

## Properties
Size of the total moment (μB per formula unit): 0.0
Formation energy without anion corrections (eV/f.u.): -23.2
Total DFT energy (no corrections) (eV/atom): -5.5568


16.
The following is a PBE-GGA calculation of crystalline Na4Ir3PdSe8 at its relaxed geometry, from Alexandria via LeMat-Bulk.

a b c (Å): 7.7175 7.7175 19.8711
angles (deg): 90.00 90.00 120.00
Closest atoms and distances in Å follow each position.
Space group R-3m (No. 166, hexagonal axes)
Inequivalent atoms, fractional coordinates:
Na (0.0000, 0.0000, 0.0000) [3 per cell]  6 Se 2.99
Na (0.0000, 0.5000, 0.0000) [9 per cell]  6 Se 3.05-3.06
Ir (0.0000, 0.5000, 0.5000) [9 per cell]  6 Se 2.53-2.54
Pd (0.0000, 0.0000, 0.5000) [3 per cell]  6 Se 2.61
Se (0.0000, 0.0000, 0.2285) [6 per cell]  3 Ir 2.54
Se (0.0092, 0.5046, 0.7703) [18 per cell]  2 Ir 2.53, 1 Pd 2.61

## Properties
Size of the total moment (μB per formula unit): 0.0
Formation energy without anion corrections (eV/f.u.): -9.1
Total DFT energy (no corrections) (eV/atom): -4.6278


17.
The following is a PBE-GGA calculation of crystalline Rb2Pa3SbO12 at its relaxed geometry, from Alexandria via LeMat-Bulk.

a b c (Å): 8.0479 8.0479 19.1229
angles (deg): 90.00 90.00 120.00
Closest atoms and distances in Å follow each position.
Space group R-3m (No. 166, hexagonal axes)
Inequivalent atoms, fractional coordinates:
Rb (0.0000, 0.0000, 0.1198) [6 per cell]  6 O 3.39-3.63
Pa (0.0000, 0.5000, 0.0000) [9 per cell]  6 O 2.16
Sb (0.0000, 0.0000, 0.5000) [3 per cell]  6 O 2.00
O (0.0757, 0.5378, 0.3574) [18 per cell]  2 Pa 2.16
O (0.0975, 0.5488, 0.1072) [18 per cell]  1 Sb 2.00, 1 Pa 2.16

## Properties
Size of the total moment (μB per formula unit): 1.5
Formation energy without anion corrections (eV/f.u.): -47.1
Total DFT energy (no corrections) (eV/atom): -7.8387


18.
The following is a PBE-GGA calculation of crystalline Ba2Si2Au at its relaxed geometry, from Alexandria via LeMat-Bulk.

a b c (Å): 3.7521 3.7521 20.1249
angles (deg): 90.00 90.00 90.00
Closest atoms and distances in Å follow each position.
Space group I4/mmm (No. 139)
Inequivalent atoms, fractional coordinates:
Ba (0.0000, 0.0000, 0.1085) [4 per cell]  4 Si 3.41, 4 Au 3.44, 4 Ba 3.75
Si (0.0000, 0.5000, 0.2500) [4 per cell]  4 Si 2.65
Au (0.0000, 0.0000, 0.5000) [2 per cell]  8 Ba 3.44, 4 Au 3.75

## Properties
Size of the total moment (μB per formula unit): 0.0
Formation energy without anion corrections (eV/f.u.): -1.1
Total DFT energy (no corrections) (eV/atom): -3.8074


19.
The following is a PBE-GGA calculation of crystalline Re2SbTe at its relaxed geometry, from Alexandria via LeMat-Bulk.

a b c (Å): 3.2250 5.3406 8.8805
angles (deg): 90.00 90.00 90.00
Closest atoms and distances in Å follow each position.
Space group Cmmm (No. 65)
Inequivalent atoms, fractional coordinates:
Re (0.0000, 0.0000, 0.2396) [4 per cell]  2 Sb 2.67, 2 Te 2.82
Sb (0.0000, 0.5000, 0.0000) [2 per cell]  4 Re 2.67
Te (0.0000, 0.5000, 0.5000) [2 per cell]  4 Re 2.82, 4 Te 3.12

## Properties
Size of the total moment (μB per formula unit): 0.0
Formation energy without anion corrections (eV/f.u.): 4.7
Total DFT energy (no corrections) (eV/atom): -6.8666


20.
The following is a PBE-GGA calculation of crystalline Ti8Cu2Bi at its relaxed geometry, from Alexandria via LeMat-Bulk.

a b c (Å): 14.0238 5.1118 5.3675
angles (deg): 90.00 96.25 90.00
Closest atoms and distances in Å follow each position.
Space group C2/m (No. 12)
Inequivalent atoms, fractional coordinates:
Ti (0.0984, 0.0000, 0.1026) [4 per cell]  1 Cu 2.44
Ti (0.1024, 0.2375, 0.6237) [8 per cell]  2 Ti 2.43-2.68, 2 Cu 2.58-2.69
Ti (0.2231, 0.5000, 0.1083) [4 per cell]  2 Cu 2.62-2.84, 1 Ti 2.86
Cu (0.2423, 0.0000, 0.4028) [4 per cell]  6 Ti 2.44-2.69
Bi (0.0000, 0.5000, 0.0000) [2 per cell]  10 Ti 2.93-3.12

## Properties
Size of the total moment (μB per formula unit): 0.0
Energy of formation from the pure elements (eV per atom): 0.05
Total DFT energy (no corrections) (eV/atom): -6.7890